This record from Alexandria via LeMat-Bulk describes a geometry-optimized Th3SnBi structure. The functional is PBE. Values from VASP.

Geometry as Quantum ESPRESSO input:
```
&SYSTEM
  ibrav = 0, nat = 10, ntyp = 3
/
ATOMIC_SPECIES
Th 232.04 Th.upf
Sn 118.71 Sn.upf
Bi 208.98 Bi.upf
CELL_PARAMETERS angstrom
-3.995 2.456 -2.107
-4.033 -6.753 -0.226
-1.271 5.066 8.313
ATOMIC_POSITIONS crystal
Th 0.500 0.319 0.000
Th 0.000 0.794 0.589
Th 0.500 0.681 0.000
Th 0.500 0.500 0.500
Th 0.000 0.206 0.411
Th 0.500 0.000 0.500
Sn 0.000 0.614 0.228
Sn 0.000 0.386 0.772
Bi 0.500 0.102 0.205
Bi 0.500 0.898 0.795
```

Output
**Space group**: No. 65
**Formation energy from the elements**: 0.143 eV/atom

***

This record from Alexandria via LeMat-Bulk describes a geometry-optimized Th7SnBi5 structure. The functional is PBE. Values from VASP.

Geometry as Quantum ESPRESSO input:
```
&SYSTEM
  ibrav = 0, nat = 13, ntyp = 3
/
ATOMIC_SPECIES
Th 232.04 Th.upf
Sn 118.71 Sn.upf
Bi 208.98 Bi.upf
CELL_PARAMETERS angstrom
-6.200 -2.025 0.299
-3.284 -1.642 -7.945
-0.558 -8.567 1.700
ATOMIC_POSITIONS crystal
Th 0.629 0.371 0.371
Th 0.264 0.736 0.736
Th 0.005 0.333 0.656
Th 0.005 0.656 0.333
Th 0.269 0.231 0.231
Th 0.526 0.813 0.135
Th 0.526 0.135 0.813
Sn 0.962 0.038 0.038
Bi 0.509 0.004 0.471
Bi 0.016 0.004 0.471
Bi 0.509 0.471 0.004
Bi 0.016 0.471 0.004
Bi 0.765 0.735 0.735
```

Output
**Space group**: No. 44
**Formation energy from the elements**: -0.226 eV/atom

***

This record from Alexandria via LeMat-Bulk describes a geometry-optimized ThSn2Bi structure. The functional is PBE. Values from VASP.

Geometry as Quantum ESPRESSO input:
```
&SYSTEM
  ibrav = 0, nat = 4, ntyp = 3
/
ATOMIC_SPECIES
Bi 208.98 Bi.upf
Th 232.04 Th.upf
Sn 118.71 Sn.upf
CELL_PARAMETERS angstrom
-0.868 -4.748 0.796
4.284 -0.428 2.115
-1.983 1.073 4.234
ATOMIC_POSITIONS crystal
Bi 0.500 0.000 0.000
Th 0.500 0.500 0.500
Sn 0.000 0.000 0.500
Sn 0.000 0.500 0.000
```

Output
**Space group**: No. 123
**Formation energy from the elements**: -0.392 eV/atom

***

This record from Alexandria via LeMat-Bulk describes a geometry-optimized ThSnBi2 structure. The functional is PBE. Values from VASP.

Geometry as Quantum ESPRESSO input:
```
&SYSTEM
  ibrav = 0, nat = 4, ntyp = 3
/
ATOMIC_SPECIES
Bi 208.98 Bi.upf
Th 232.04 Th.upf
Sn 118.71 Sn.upf
CELL_PARAMETERS angstrom
4.768 0.000 0.000
0.000 4.968 0.000
0.000 0.000 4.968
ATOMIC_POSITIONS crystal
Bi 0.000 0.000 0.500
Bi 0.000 0.500 0.000
Th 0.500 0.500 0.500
Sn 0.500 0.000 0.000
```

Output
**Space group**: No. 123
**Formation energy from the elements**: -0.358 eV/atom

***

| no. | electronic total energy (Ry/atom) |
| --- | --- |
| 1 | -0.433 |
| 2 | -0.443 |
| 3 | -0.384 |
| 4 | -0.379 |